Compound: NaOsN2
Source: the Alexandria database
Functional: GGA-PBE
Structure: optimized geometry

Properties
ΔE to the lowest computed polymorph	0.440	eV per atom
density	7.39	g cm⁻³
DOS at the Fermi energy	3.1	states/eV per cell
raw formation energy	0.5817	eV per atom

Cell lengths 6.7463, 6.7463, 6.7463 Å; angles 26.59, 26.59, 26.59 degrees
Fractional positions:
1 Na 0.0000 0.0000 0.0000
2 Os 0.5000 0.5000 0.5000
3 N 0.8858 0.8858 0.8858
4 N 0.1142 0.1142 0.1142

***

Compound: Na3OsN
Source: the Alexandria database
Functional: GGA-PBE
Structure: optimized geometry

Properties
ΔE to the lowest computed polymorph	0.704	eV per atom
density	2.49	g cm⁻³
DOS at the Fermi energy	8.2	states/eV per cell
raw formation energy	2.0633	eV per atom

Cell lengths 5.6689, 5.6689, 5.6689 Å; angles 90.00, 90.00, 90.00 degrees
Site moments in Bohr magnetons follow the coordinates.
Fractional positions:
1 Na 0.0000 0.5000 0.0000  -0.02
2 Na 0.0000 0.0000 0.5000  -0.02
3 Na 0.5000 0.0000 0.0000  -0.03
4 Os 0.0000 0.0000 0.0000  1.82
5 N 0.5000 0.5000 0.5000  1.49

***

Compound: NaOsN3
Source: the Alexandria database
Functional: GGA-PBE
Structure: optimized geometry

Properties
density	7.59	g cm⁻³
DOS at the Fermi energy	8.8	states/eV per cell
raw formation energy	3.4834	eV per atom

Cell lengths 3.8223, 3.8223, 3.8223 Å; angles 90.00, 90.00, 90.00 degrees
Fractional positions:
1 Na 0.0000 0.0000 0.0000
2 Os 0.5000 0.5000 0.5000
3 N 0.0000 0.5000 0.0000
4 N 0.0000 0.0000 0.5000
5 N 0.5000 0.0000 0.0000

***

Compound: NaPa2OsN5
Source: the Alexandria database
Functional: GGA-PBE
Structure: optimized geometry

Properties
density	9.67	g cm⁻³
DOS at the Fermi energy	8.8	states/eV per cell
raw formation energy	-0.7795	eV per atom

Cell lengths 6.6937, 6.6937, 7.4186 Å; angles 116.82, 116.82, 90.00 degrees
Fractional positions:
1 Na 0.2500 0.2500 0.5000
2 Na 0.7500 0.7500 0.5000
3 Pa 0.1874 0.3126 0.0000
4 Pa 0.6874 0.1874 0.0000
5 Pa 0.3126 0.8126 0.0000
6 Pa 0.8126 0.6874 0.0000
7 Os 0.2500 0.7500 0.5000
8 Os 0.7500 0.2500 0.5000
9 N 0.9904 0.4904 0.2569
10 N 0.7334 0.2334 0.7431
11 N 0.0096 0.5096 0.7431
12 N 0.2334 0.0096 0.7431
13 N 0.5096 0.7334 0.7431
14 N 0.7666 0.9904 0.2569
15 N 0.4904 0.2666 0.2569
16 N 0.2666 0.7666 0.2569
17 N 0.5000 0.5000 0.0000
18 N 0.0000 0.0000 0.0000

***

Compound: NaPa2OsN4
Source: the Alexandria database
Functional: GGA-PBE
Structure: optimized geometry

Properties
density	9.35	g cm⁻³
DOS at the Fermi energy	5.2	states/eV per cell
raw formation energy	-0.5447	eV per atom

Cell lengths 5.6520, 5.6520, 5.6520 Å; angles 92.13, 118.78, 118.78 degrees
Fractional positions:
1 Na 0.0000 0.0000 0.0000
2 Pa 0.5000 0.7500 0.2500
3 Pa 0.5000 0.2500 0.7500
4 Os 0.0000 0.5000 0.5000
5 N 0.0000 0.1468 0.4717
6 N 0.6751 0.5283 0.5283
7 N 0.3249 0.8532 0.8532
8 N 0.0000 0.4717 0.1468

***

Compound: Na3Pa2OsN6
Source: the Alexandria database
Functional: GGA-PBE
Structure: optimized geometry

Properties
density	7.86	g cm⁻³
DOS at the Fermi energy	4.2	states/eV per cell
raw formation energy	-0.6681	eV per atom

Cell lengths 5.8591, 5.8591, 6.0302 Å; angles 98.96, 98.96, 120.12 degrees
Site moments in Bohr magnetons follow the coordinates.
Fractional positions:
1 Na 0.1537 0.8463 0.5000  0.01
2 Na 0.8463 0.1537 0.5000  0.01
3 Na 0.5000 0.5000 0.5000  0.01
4 Pa 0.3330 0.6670 0.0000  0.17
5 Pa 0.6670 0.3330 0.0000  0.17
6 Os 0.0000 0.0000 0.0000  1.28
7 N 0.9382 0.6246 0.8100  0.08
8 N 0.7452 0.7452 0.1893  0.07
9 N 0.0618 0.3754 0.1900  0.08
10 N 0.6246 0.9382 0.8100  0.08
11 N 0.2548 0.2548 0.8107  0.07
12 N 0.3754 0.0618 0.1900  0.08

***

Compound: NaPaOsN4
Source: the Alexandria database
Functional: GGA-PBE
Structure: optimized geometry

Properties
density	7.34	g cm⁻³
DOS at the Fermi energy	2.1	states/eV per cell
raw formation energy	-0.3516	eV per atom

Cell lengths 6.0369, 5.6453, 7.0555 Å; angles 90.00, 109.61, 90.00 degrees
Fractional positions:
1 Na 0.6508 0.7500 0.9343
2 Na 0.3492 0.2500 0.0657
3 Pa 0.7943 0.7500 0.4661
4 Pa 0.2057 0.2500 0.5339
5 Os 0.2398 0.7500 0.3187
6 Os 0.7602 0.2500 0.6813
7 N 0.0007 0.4844 0.6941
8 N 0.9993 0.9844 0.3059
9 N 0.9993 0.5156 0.3059
10 N 0.0007 0.0156 0.6941
11 N 0.4230 0.7500 0.1663
12 N 0.5770 0.2500 0.8337
13 N 0.4599 0.7500 0.5686
14 N 0.5401 0.2500 0.4314

***

Compound: Na3Pu3OsN8
Source: the Alexandria database
Functional: GGA-PBE
Structure: optimized geometry

Properties
density	8.36	g cm⁻³
DOS at the Fermi energy	15.9	states/eV per cell
raw formation energy	-0.4693	eV per atom

Cell lengths 6.6652, 6.6641, 6.8749 Å; angles 119.00, 90.04, 120.00 degrees
Site moments in Bohr magnetons follow the coordinates.
Fractional positions:
1 Na 0.0000 0.0000 0.0000  0.00
2 Na 0.0000 0.5000 0.0000  0.00
3 Na 0.5000 0.5000 0.0000  0.00
4 Pu 0.5000 0.0000 0.5000  3.60
5 Pu 0.5000 0.5000 0.5000  3.60
6 Pu 0.0000 0.5000 0.5000  3.60
7 Os 0.0000 0.0000 0.5000  1.00
8 N 0.2697 0.5396 0.3095  -0.20
9 N 0.7303 0.4604 0.6905  -0.20
10 N 0.7831 0.5664 0.3204  -0.11
11 N 0.2169 0.4336 0.6796  -0.11
12 N 0.7831 0.0373 0.3205  -0.11
13 N 0.2169 0.9627 0.6795  -0.11
14 N 0.2539 0.0373 0.3206  -0.11
15 N 0.7461 0.9627 0.6794  -0.11

***

Compound: Na2PuOsN4
Source: the Alexandria database
Functional: GGA-PBE
Structure: optimized geometry

Properties
density	7.64	g cm⁻³
DOS at the Fermi energy	9.8	states/eV per cell
raw formation energy	-0.1844	eV per atom

Cell lengths 4.4690, 7.4538, 7.0003 Å; angles 90.00, 90.00, 90.00 degrees
Site moments in Bohr magnetons follow the coordinates.
Fractional positions:
1 Na 0.4375 0.3677 0.2593  0.01
2 Na 0.4375 0.3677 0.7407  0.01
3 Na 0.9375 0.6323 0.7593  0.01
4 Na 0.9375 0.6323 0.2407  0.01
5 Pu 0.9375 0.1068 0.5000  3.89
6 Pu 0.4375 0.8932 0.0000  3.89
7 Os 0.4375 0.8169 0.5000  0.26
8 Os 0.9375 0.1831 0.0000  0.26
9 N 0.4375 0.1664 0.0000  -0.16
10 N 0.9375 0.8336 0.5000  -0.16
11 N 0.4375 0.0848 0.5000  -0.16
12 N 0.9375 0.9152 0.0000  -0.16
13 N 0.4375 0.7055 0.7365  0.01
14 N 0.9375 0.2945 0.2365  0.01
15 N 0.9375 0.2945 0.7635  0.01
16 N 0.4375 0.7055 0.2635  0.01

***

Compound: RbNaOsN2
Source: the Alexandria database
Functional: GGA-PBE
Structure: optimized geometry

Properties
density	5.59	g cm⁻³
DOS at the Fermi energy	9.1	states/eV per cell
raw formation energy	3.3491	eV per atom

Cell lengths 4.5599, 4.6649, 4.5599 Å; angles 90.00, 90.00, 90.00 degrees
Fractional positions:
1 Na 0.0000 0.5000 0.0000
2 Os 0.5000 0.5000 0.5000
3 Rb 0.0000 0.0000 0.0000
4 N 0.0000 0.0000 0.5000
5 N 0.5000 0.0000 0.0000

***

Compound: NaOsRuN2
Source: the Alexandria database
Functional: GGA-PBE
Structure: optimized geometry

Properties
density	7.48	g cm⁻³
DOS at the Fermi energy	4.7	states/eV per cell
raw formation energy	1.1132	eV per atom

Cell lengths 3.8601, 5.0991, 3.8601 Å; angles 90.00, 90.00, 90.00 degrees
Site moments in Bohr magnetons follow the coordinates.
Fractional positions:
1 Ru 0.0000 0.5000 0.0000  1.58
2 N 0.0000 0.0000 0.5000  0.08
3 N 0.5000 0.0000 0.0000  0.09
4 Os 0.0000 0.0000 0.0000  -0.05
5 Na 0.5000 0.5000 0.5000  0.00

***

Compound: Na2ScOsN
Source: the Alexandria database
Functional: GGA-PBE
Structure: optimized geometry

Properties
density	5.56	g cm⁻³
DOS at the Fermi energy	3.2	states/eV per cell
raw formation energy	0.3758	eV per atom

Cell lengths 4.7814, 3.8584, 4.7814 Å; angles 90.00, 90.00, 90.00 degrees
Fractional positions:
1 Sc 0.5000 0.5000 0.5000
2 Na 0.0000 0.0000 0.5000
3 Na 0.5000 0.0000 0.0000
4 Os 0.0000 0.5000 0.0000
5 N 0.0000 0.0000 0.0000